DFT (PBE) results for crystalline Ce2NdSb2 at its relaxed geometry.

Calculated values
- E_form (uncorrected): -0.69 eV/atom
- Crystal system: monoclinic
- Calculated total energy: -0.2084 Ha/atom
- M_tot: 0.81 μB/cell

a = 4.350 Å, b = 4.350 Å, c = 8.219 Å
α = 105.01°, β = 105.01°, γ = 90.19°
Sites, in units of the cell vectors:
Ce 0.238 0.762 0.000
Ce 0.762 0.238 0.000
Nd 0.000 0.000 0.500
Sb 0.408 0.408 0.303
Sb 0.592 0.592 0.697